VASP calculation (PBE) on a relaxed Nd4IrRu crystal.

Unit cell a=9.7607 b=10.0223 c=8.5046 alpha=90.00 beta=124.72 gamma=90.00
Space group C2/c (No. 15)
Symmetry-distinct sites (fractional):
Nd1 0.1195 0.1287 0.9996 (multiplicity 8)
Nd2 0.1300 0.3787 0.4994 (multiplicity 8)
Ir1 0.0000 0.3752 0.7500 (multiplicity 4)
Ru1 0.0000 0.1250 0.2500 (multiplicity 4)

Output
- Formation enthalpy at 0 K: -8.015 kcal/mol of atoms

=====

VASP calculation (PBE) on a relaxed K2Hg2Br crystal.

Unit cell a=9.1357 b=9.1357 c=4.5457 alpha=90.00 beta=90.00 gamma=90.00
Space group P4/mbm (No. 127)
Symmetry-distinct sites (fractional):
K1 0.1875 0.3125 0.0000 (multiplicity 4)
Hg1 0.1159 0.6159 0.5000 (multiplicity 4)
Br1 0.0000 0.0000 0.5000 (multiplicity 2)

Output
- Energy relative to the elements, uncorrected: -58.70 kJ per mole of atoms

=====

VASP calculation (PBE) on a relaxed PrHo3Er5 crystal.

Unit cell a=17.2317 b=6.1267 c=11.1671 alpha=90.00 beta=90.27 gamma=90.00
Space group C2/c (No. 15)
Symmetry-distinct sites (fractional):
Pr1 0.0000 0.1302 0.2500 (multiplicity 4)
Ho1 0.0000 0.0000 0.0000 (multiplicity 4)
Ho2 0.1653 0.2752 0.0836 (multiplicity 8)
Er1 0.0000 0.3965 0.7500 (multiplicity 4)
Er2 0.1656 0.2721 0.4152 (multiplicity 8)
Er3 0.1743 0.2063 0.7490 (multiplicity 8)

Output
- Formation enthalpy at 0 K: 7.726 kcal/mol of atoms

=====

VASP calculation (PBE) on a relaxed Ag2AsSe crystal.

Unit cell a=11.4267 b=3.7422 c=3.9916 alpha=90.00 beta=96.00 gamma=90.00
Space group Cm (No. 8)
Symmetry-distinct sites (fractional):
Ag1 0.0000 0.0000 0.0000 (multiplicity 2)
Ag2 0.2079 0.5000 0.9608 (multiplicity 2)
As1 0.4744 0.0000 0.4900 (multiplicity 2)
Se1 0.2607 0.0000 0.4754 (multiplicity 2)

Output
- Energy relative to the elements, uncorrected: 6.81 kJ per mole of atoms

=====

VASP calculation (PBE) on a relaxed ErThGaRu crystal.

Unit cell a=7.1042 b=7.1042 c=7.1042 alpha=90.00 beta=90.00 gamma=90.00
Space group F-43m (No. 216)
Symmetry-distinct sites (fractional):
Er1 0.0000 0.0000 0.0000 (multiplicity 4)
Th1 0.0000 0.0000 0.5000 (multiplicity 4)
Ga1 0.2500 0.2500 0.2500 (multiplicity 4)
Ru1 0.2500 0.2500 0.7500 (multiplicity 4)

Output
- Formation enthalpy at 0 K: -9.107 kcal/mol of atoms

=====

VASP calculation (PBE) on a relaxed BaCo2Os crystal.

Unit cell a=4.1561 b=4.1561 c=17.2466 alpha=90.00 beta=90.00 gamma=120.00
Space group R3m (No. 160, hexagonal axes)
Symmetry-distinct sites (fractional):
Ba1 0.0000 0.0000 0.0000 (multiplicity 3)
Co1 0.0000 0.0000 0.5008 (multiplicity 3)
Co2 0.0000 0.0000 0.8167 (multiplicity 3)
Os1 0.0000 0.0000 0.1860 (multiplicity 3)

Output
- Formation enthalpy at 0 K: 7.010 kcal/mol of atoms